Cr2CoIr | PBE-GGA | relaxed

```
8
Lattice="2.8555 0.0000 0.0000 0.0000 4.3064 0.0000 0.0000 0.0000 8.1570" Properties=species:S:1:pos:R:3 pbc="T T T"
Cr 0.0000 0.0000 0.0000
Cr 0.0000 2.1532 1.8559
Cr 1.4278 0.0000 1.8559
Cr 1.4278 2.1532 0.0000
Co 0.0000 2.1532 6.2042
Co 1.4278 0.0000 6.2042
Ir 0.0000 0.0000 4.0056
Ir 1.4278 2.1532 4.0056
```

Summary:
size of the total moment	3.50	μB per cell
calculated formation energy	0.203	eV per atom
E_tot	-68.80	eV/cell

***

Cr2CoIr | PBE-GGA | relaxed

```
4
Lattice="3.6298 0.0000 0.0000 0.0000 3.6298 0.0000 0.0000 0.0000 3.6647" Properties=species:S:1:pos:R:3 pbc="T T T"
Cr 0.0000 1.8149 0.0000
Cr 1.8149 0.0000 0.0000
Co 0.0000 0.0000 1.8324
Ir 1.8149 1.8149 1.8324
```

Summary:
size of the total moment	0.00	μB per cell
calculated formation energy	-0.085	eV per atom
E_tot	-35.56	eV/cell

***

Cr2CoIr | PBE-GGA | relaxed

```
16
Lattice="5.8660 0.0000 0.0000 0.0000 5.8660 0.0000 0.0000 0.0000 5.8660" Properties=species:S:1:pos:R:3 pbc="T T T"
Cr 0.0000 0.0000 0.0000
Cr 0.0000 2.9330 2.9330
Cr 1.4665 1.4665 1.4665
Cr 1.4665 4.3995 4.3995
Cr 2.9330 0.0000 2.9330
Cr 2.9330 2.9330 0.0000
Cr 4.3995 1.4665 4.3995
Cr 4.3995 4.3995 1.4665
Co 1.4665 1.4665 4.3995
Co 1.4665 4.3995 1.4665
Co 4.3995 1.4665 1.4665
Co 4.3995 4.3995 4.3995
Ir 0.0000 0.0000 2.9330
Ir 0.0000 2.9330 0.0000
Ir 2.9330 0.0000 0.0000
Ir 2.9330 2.9330 2.9330
```

Summary:
size of the total moment	12.63	μB per cell
calculated formation energy	0.110	eV per atom
E_tot	-139.10	eV/cell

***

Cr2CoIr | PBE-GGA | relaxed

```
4
Lattice="2.5951 0.0000 0.0000 0.0000 2.5951 0.0000 0.0000 0.0000 7.2046" Properties=species:S:1:pos:R:3 pbc="T T T"
Cr 0.0000 0.0000 1.6985
Cr 0.0000 0.0000 5.5062
Co 1.2975 1.2975 0.0000
Ir 1.2975 1.2975 3.6023
```

Summary:
size of the total moment	0.00	μB per cell
calculated formation energy	-0.024	eV per atom
E_tot	-35.31	eV/cell

***

Cr2CoIr | PBE-GGA | relaxed

```
8
Lattice="2.5953 0.0000 0.0000 -0.0015 4.5203 0.0000 -1.2903 -0.6752 8.2954" Properties=species:S:1:pos:R:3 pbc="T T T"
Cr -0.0005 1.4563 0.9715
Cr -0.0011 0.0524 3.0437
Cr 1.3047 3.7927 5.2517
Cr 1.3040 2.3888 7.3238
Co 0.0052 0.0033 7.2662
Co 1.2984 3.8419 1.0292
Ir 0.0035 1.5181 5.2426
Ir 1.3000 2.3270 3.0528
```

Summary:
size of the total moment	0.00	μB per cell
calculated formation energy	-0.020	eV per atom
E_tot	-70.59	eV/cell

***

Cr2CoIr | PBE-GGA | relaxed

```
4
Lattice="2.8851 0.0000 0.0000 0.0000 2.8851 0.0000 0.0000 0.0000 5.8928" Properties=species:S:1:pos:R:3 pbc="T T T"
Cr 0.0000 0.0000 0.0000
Cr 1.4426 1.4426 1.3044
Co 1.4426 1.4426 4.5671
Ir 0.0000 0.0000 2.9125
```

Summary:
size of the total moment	1.90	μB per cell
calculated formation energy	0.081	eV per atom
E_tot	-34.89	eV/cell

***

Cr2CoIr | PBE-GGA | relaxed

```
4
Lattice="2.6110 0.0000 0.0000 0.0000 3.5984 0.0000 0.0000 0.0000 5.1547" Properties=species:S:1:pos:R:3 pbc="T T T"
Cr 0.0000 0.0000 1.1890
Cr 0.0000 0.0000 3.9657
Co 1.3055 1.7992 0.0000
Ir 1.3055 1.7992 2.5774
```

Summary:
size of the total moment	0.00	μB per cell
calculated formation energy	-0.063	eV per atom
E_tot	-35.47	eV/cell

***

CrCo5Ir6 | PBE-GGA | relaxed

```
12
Lattice="-1.8853 3.6040 5.6364 1.8853 -3.6040 5.6364 1.8853 3.6040 -5.6364" Properties=species:S:1:pos:R:3 pbc="T T T"
Cr 0.0000 0.0000 0.0000
Co 1.8853 0.0000 1.8396
Co 0.0000 0.0000 3.7697
Co 0.0000 3.6040 0.0000
Co 0.0000 0.0000 7.5031
Co 0.0000 3.6040 3.7968
Ir 1.8853 -1.8100 3.7539
Ir 1.8853 1.7924 0.0000
Ir 0.0000 1.7940 1.8825
Ir 1.8853 1.8100 3.7539
Ir 0.0000 1.8116 5.6364
Ir 0.0000 5.4140 1.8825
```

Summary:
size of the total moment	4.81	μB per cell
calculated formation energy	-0.024	eV per atom
E_tot	-98.61	eV/cell

***

Cr2Co2Ir | PBE-GGA | relaxed

```
10
Lattice="4.2591 0.0000 0.0000 0.0000 6.3651 0.0000 0.0000 0.0000 4.7774" Properties=species:S:1:pos:R:3 pbc="T T T"
Cr 0.0000 0.0000 1.1420
Cr 0.0000 0.0000 3.6355
Cr 2.1296 3.1826 1.1420
Cr 2.1296 3.1826 3.6355
Co 0.0000 2.0823 0.0000
Co 0.0000 4.2829 0.0000
Co 2.1296 1.1003 0.0000
Co 2.1296 5.2649 0.0000
Ir 0.0000 3.1826 2.3887
Ir 2.1296 0.0000 2.3887
```

Summary:
size of the total moment	1.21	μB per cell
calculated formation energy	0.426	eV per atom
energy above the most stable polymorph in this dataset	389.9	meV per atom
E_tot	-80.38	eV/cell

***

CrCoIr | PBE-GGA | relaxed

```
3
Lattice="2.6310 0.0000 0.0000 -1.3155 2.2785 0.0000 0.0000 0.0000 6.2560" Properties=species:S:1:pos:R:3 pbc="T T T"
Cr 0.0000 0.0000 0.0000
Co 0.0000 1.5190 4.3087
Ir 1.3155 0.7595 2.0986
```

Summary:
size of the total moment	0.55	μB per cell
calculated formation energy	0.038	eV per atom
energy above the most stable polymorph in this dataset	105.3	meV per atom
E_tot	-25.48	eV/cell

***

Cr5Co3Ir3 | PBE-GGA | relaxed

```
11
Lattice="8.1818 0.0000 0.0000 -4.0909 7.0856 0.0000 0.0000 0.0000 2.6231" Properties=species:S:1:pos:R:3 pbc="T T T"
Cr -1.3421 2.3245 0.0000
Cr 2.6841 0.0000 0.0000
Cr 0.0000 4.7238 0.0000
Cr 4.0909 2.3619 0.0000
Cr 2.7488 4.7611 0.0000
Co -3.4477 5.9716 0.0000
Co 0.6432 1.1140 0.0000
Co 6.8954 0.0000 0.0000
Ir -2.4089 4.1724 1.3116
Ir 1.6819 2.9132 1.3116
Ir 4.8179 0.0000 1.3116
```

Summary:
size of the total moment	0.58	μB per cell
calculated formation energy	0.500	eV per atom
E_tot	-90.52	eV/cell

***

MgCrCoIr | PBE-GGA | relaxed

```
16
Lattice="5.9689 0.0000 0.0000 0.0000 5.9689 0.0000 0.0000 0.0000 5.9689" Properties=species:S:1:pos:R:3 pbc="T T T"
Mg 0.0000 0.0000 0.0000
Mg 0.0000 2.9845 2.9845
Mg 2.9845 0.0000 2.9845
Mg 2.9845 2.9845 0.0000
Cr 0.0000 0.0000 2.9845
Cr 0.0000 2.9845 0.0000
Cr 2.9845 0.0000 0.0000
Cr 2.9845 2.9845 2.9845
Co 1.4922 1.4922 1.4922
Co 1.4922 4.4767 4.4767
Co 4.4767 1.4922 4.4767
Co 4.4767 4.4767 1.4922
Ir 1.4922 1.4922 4.4767
Ir 1.4922 4.4767 1.4922
Ir 4.4767 1.4922 1.4922
Ir 4.4767 4.4767 4.4767
```

Summary:
size of the total moment	8.35	μB per cell
calculated formation energy	-0.028	eV per atom
E_tot	-109.18	eV/cell

***

MnCrCoIr2 | PBE-GGA | relaxed

```
5
Lattice="4.4518 0.0000 0.0000 0.0000 4.4518 0.0000 0.0000 0.0000 4.1999" Properties=species:S:1:pos:R:3 pbc="T T T"
Mn 0.0000 0.0000 0.0000
Cr 0.0000 0.0000 2.0999
Co 2.2259 2.2259 2.0999
Ir 0.0000 2.2259 0.0000
Ir 2.2259 0.0000 0.0000
```

Summary:
size of the total moment	4.42	μB per cell
calculated formation energy	1.327	eV per atom
E_tot	-36.99	eV/cell

***

CrCoMoIr | PBE-GGA | relaxed

```
4
Lattice="3.6644 0.0000 0.0000 0.0000 3.7823 0.0000 0.0000 0.0000 3.7824" Properties=species:S:1:pos:R:3 pbc="T T T"
Cr 0.0000 0.0000 0.0000
Co 0.0000 1.8912 1.8912
Mo 1.8322 0.0000 1.8912
Ir 1.8322 1.8912 0.0000
```

Summary:
size of the total moment	0.27	μB per cell
calculated formation energy	-0.100	eV per atom
E_tot	-36.82	eV/cell

***

CrCoIrPb2 | PBE-GGA | relaxed

```
5
Lattice="5.1460 0.0000 0.0000 0.0000 5.1460 0.0000 0.0000 0.0000 4.4733" Properties=species:S:1:pos:R:3 pbc="T T T"
Cr 0.0000 0.0000 0.0000
Co 2.5730 2.5730 2.2366
Ir 0.0000 0.0000 2.2366
Pb 0.0000 2.5730 0.0000
Pb 2.5730 0.0000 0.0000
```

Summary:
size of the total moment	3.07	μB per cell
calculated formation energy	1.240	eV per atom
E_tot	-26.81	eV/cell

***

CrCoIrRh | PBE-GGA | relaxed

```
8
Lattice="3.9769 0.0000 0.0000 0.0000 2.6360 0.0000 0.0000 0.0000 9.9573" Properties=species:S:1:pos:R:3 pbc="T T T"
Cr 0.0000 0.0000 0.0000
Cr 0.0000 1.3180 4.9786
Co 0.0000 0.0000 7.5349
Co 0.0000 1.3180 2.5563
Ir 1.9884 0.0000 3.5240
Ir 1.9884 1.3180 8.5026
Rh 1.9884 0.0000 6.1060
Rh 1.9884 1.3180 1.1273
```

Summary:
size of the total moment	0.93	μB per cell
calculated formation energy	0.041	eV per atom
E_tot	-65.55	eV/cell

***

CrCo2IrRh | PBE-GGA | relaxed

```
5
Lattice="4.4800 0.0000 0.0000 0.0000 4.4800 0.0000 0.0000 0.0000 4.7053" Properties=species:S:1:pos:R:3 pbc="T T T"
Cr 0.0000 0.0000 0.0000
Co 0.0000 2.2400 2.3526
Co 2.2400 0.0000 2.3526
Ir 2.2400 2.2400 2.3526
Rh 2.2400 2.2400 0.0000
```

Summary:
size of the total moment	4.09	μB per cell
calculated formation energy	1.822	eV per atom
E_tot	-30.94	eV/cell

***

TiCrCoIr | PBE-GGA | relaxed

```
16
Lattice="6.0326 0.0000 0.0000 0.0000 6.0326 0.0000 0.0000 0.0000 6.0326" Properties=species:S:1:pos:R:3 pbc="T T T"
Ti 0.0000 0.0000 0.0000
Ti 0.0000 3.0163 3.0163
Ti 3.0163 0.0000 3.0163
Ti 3.0163 3.0163 0.0000
Cr 0.0000 0.0000 3.0163
Cr 0.0000 3.0163 0.0000
Cr 3.0163 0.0000 0.0000
Cr 3.0163 3.0163 3.0163
Co 1.5082 1.5082 4.5245
Co 1.5082 4.5245 1.5082
Co 4.5245 1.5082 1.5082
Co 4.5245 4.5245 4.5245
Ir 1.5082 1.5082 1.5082
Ir 1.5082 4.5245 4.5245
Ir 4.5245 1.5082 4.5245
Ir 4.5245 4.5245 1.5082
```

Summary:
size of the total moment	15.94	μB per cell
calculated formation energy	-0.289	eV per atom
E_tot	-138.57	eV/cell

***

CrCoIrW | PBE-GGA | relaxed

```
4
Lattice="3.6726 0.0000 0.0000 0.0000 3.7819 0.0000 0.0000 0.0000 3.7922" Properties=species:S:1:pos:R:3 pbc="T T T"
Cr 0.0000 0.0000 0.0000
Co 0.0000 1.8909 1.8961
Ir 1.8363 1.8909 0.0000
W 1.8363 0.0000 1.8961
```

Summary:
size of the total moment	0.17	μB per cell
calculated formation energy	-0.109	eV per atom
E_tot	-38.98	eV/cell

***

KCrCo2 | PBE-GGA | relaxed

```
8
Lattice="2.6377 0.0000 0.0000 0.0000 5.2729 0.0000 0.0000 0.0000 10.1061" Properties=species:S:1:pos:R:3 pbc="T T T"
K 0.0000 0.0000 0.0000
K 1.3188 2.6364 5.0531
Cr 0.0000 2.6364 2.0007
Cr 1.3188 0.0000 7.0537
Co 0.0000 0.0000 4.9013
Co 0.0000 2.6364 7.9825
Co 1.3188 0.0000 2.9294
Co 1.3188 2.6364 9.9544
```

Summary:
size of the total moment	12.62	μB per cell
calculated formation energy	1.128	eV per atom
energy above the most stable polymorph in this dataset	447.5	meV per atom
E_tot	-40.84	eV/cell

***

KCrCo2 | PBE-GGA | relaxed

```
8
Lattice="4.5655 0.0000 0.0000 0.0000 4.5655 0.0000 0.0000 0.0000 6.4772" Properties=species:S:1:pos:R:3 pbc="T T T"
K 0.0000 0.0000 0.0000
K 2.2828 2.2828 3.2386
Cr 0.0000 2.2828 1.6193
Cr 2.2828 0.0000 4.8579
Co 0.0000 0.0000 3.2386
Co 0.0000 2.2828 4.8579
Co 2.2828 0.0000 1.6193
Co 2.2828 2.2828 0.0000
```

Summary:
size of the total moment	14.26	μB per cell
calculated formation energy	1.434	eV per atom
energy above the most stable polymorph in this dataset	753.5	meV per atom
E_tot	-38.40	eV/cell

***

KCrCo2 | PBE-GGA | relaxed

```
4
Lattice="5.0420 0.0000 0.0000 0.0000 5.0420 0.0000 0.0000 0.0000 2.5627" Properties=species:S:1:pos:R:3 pbc="T T T"
K 0.0000 0.0000 0.0000
Cr 2.5210 2.5210 0.0000
Co 0.0000 2.5210 1.2814
Co 2.5210 0.0000 1.2814
```

Summary:
size of the total moment	5.85	μB per cell
calculated formation energy	1.321	eV per atom
energy above the most stable polymorph in this dataset	640.5	meV per atom
E_tot	-19.65	eV/cell

***

KCrCo2 | PBE-GGA | relaxed

```
8
Lattice="7.8729 0.0000 0.0000 0.0000 2.7245 0.0000 -0.8906 0.0000 6.9598" Properties=species:S:1:pos:R:3 pbc="T T T"
K 0.0000 0.0000 0.0000
K 3.9364 1.3622 0.0000
Cr -0.4453 1.3622 3.4799
Cr 3.4911 0.0000 3.4799
Co 1.1678 0.0000 4.3613
Co 1.8780 1.3622 2.5985
Co 5.1043 1.3622 4.3613
Co 5.8144 0.0000 2.5985
```

Summary:
size of the total moment	1.18	μB per cell
calculated formation energy	0.800	eV per atom
energy above the most stable polymorph in this dataset	119.9	meV per atom
E_tot	-43.46	eV/cell

***

KCrCo4 | PBE-GGA | relaxed

```
6
Lattice="0.0000 3.5465 3.5465 3.5465 0.0000 3.5465 3.5465 3.5465 0.0000" Properties=species:S:1:pos:R:3 pbc="T T T"
K 0.0000 0.0000 0.0000
Cr 1.7732 1.7732 1.7732
Co 4.4227 2.6702 2.6702
Co 2.6702 4.4227 2.6702
Co 2.6702 2.6702 4.4227
Co 4.4227 4.4227 4.4227
```

Summary:
size of the total moment	10.46	μB per cell
calculated formation energy	0.845	eV per atom
E_tot	-34.07	eV/cell

***

KCrCo2 | PBE-GGA | relaxed

```
16
Lattice="6.8671 0.0000 0.0000 0.0000 6.8671 0.0000 0.0000 0.0000 6.3308" Properties=species:S:1:pos:R:3 pbc="T T T"
K 0.0000 0.0000 0.0000
K 0.0000 3.4335 1.5827
K 3.4335 0.0000 4.7481
K 3.4335 3.4335 3.1654
Cr 0.0000 0.0000 3.1654
Cr 0.0000 3.4335 4.7481
Cr 3.4335 0.0000 1.5827
Cr 3.4335 3.4335 0.0000
Co 1.0721 5.1503 3.9567
Co 1.7168 1.0721 2.3740
Co 1.7168 2.3614 5.5394
Co 2.3614 5.1503 0.7913
Co 4.5057 1.7168 0.7913
Co 5.1503 4.5057 5.5394
Co 5.1503 5.7949 2.3740
Co 5.7949 1.7168 3.9567
```

Summary:
size of the total moment	0.02	μB per cell
calculated formation energy	1.318	eV per atom
energy above the most stable polymorph in this dataset	637.6	meV per atom
E_tot	-78.65	eV/cell

***

KCrCo2 | PBE-GGA | relaxed

```
16
Lattice="6.1970 0.0000 0.0000 0.0000 6.1970 0.0000 0.0000 0.0000 6.1970" Properties=species:S:1:pos:R:3 pbc="T T T"
K 0.0000 0.0000 0.0000
K 0.0000 3.0985 3.0985
K 3.0985 0.0000 3.0985
K 3.0985 3.0985 0.0000
Cr 0.0000 0.0000 3.0985
Cr 0.0000 3.0985 0.0000
Cr 3.0985 0.0000 0.0000
Cr 3.0985 3.0985 3.0985
Co 1.5493 1.5493 1.5493
Co 1.5493 1.5493 4.6478
Co 1.5493 4.6478 1.5493
Co 1.5493 4.6478 4.6478
Co 4.6478 1.5493 1.5493
Co 4.6478 1.5493 4.6478
Co 4.6478 4.6478 1.5493
Co 4.6478 4.6478 4.6478
```

Summary:
size of the total moment	6.50	μB per cell
calculated formation energy	1.559	eV per atom
energy above the most stable polymorph in this dataset	879.2	meV per atom
E_tot	-74.78	eV/cell

***

KCrCo2 | PBE-GGA | relaxed

```
4
Lattice="2.7686 0.0000 0.0000 0.0000 4.8956 0.0000 0.0000 0.0000 4.9494" Properties=species:S:1:pos:R:3 pbc="T T T"
K 0.0000 0.0000 0.0000
Cr 1.3843 2.4478 0.0000
Co 0.0000 2.4478 2.4747
Co 1.3843 0.0000 2.4747
```

Summary:
size of the total moment	7.21	μB per cell
calculated formation energy	1.409	eV per atom
energy above the most stable polymorph in this dataset	729.0	meV per atom
E_tot	-19.30	eV/cell

***

K2CrCo2 | PBE-GGA | relaxed

```
10
Lattice="3.1823 0.0000 0.0000 0.0000 3.1823 0.0000 0.0000 0.0000 23.2905" Properties=species:S:1:pos:R:3 pbc="T T T"
K 0.0000 0.0000 2.8734
K 0.0000 0.0000 20.4170
K 1.5911 1.5911 8.7718
K 1.5911 1.5911 14.5186
Cr 0.0000 0.0000 11.6452
Cr 1.5911 1.5911 0.0000
Co 0.0000 1.5911 5.8226
Co 0.0000 1.5911 17.4678
Co 1.5911 0.0000 5.8226
Co 1.5911 0.0000 17.4678
```

Summary:
size of the total moment	6.25	μB per cell
calculated formation energy	1.343	eV per atom
energy above the most stable polymorph in this dataset	0.0	meV per atom
E_tot	-38.63	eV/cell

***

KCrCo2 | PBE-GGA | relaxed

```
8
Lattice="2.6445 0.0000 0.0000 0.0000 5.3289 0.0000 0.0000 0.0000 9.7654" Properties=species:S:1:pos:R:3 pbc="T T T"
K 0.0000 0.0000 0.0000
K 1.3223 2.6645 4.8827
Cr 0.0000 0.0000 4.8827
Cr 1.3223 2.6645 0.0000
Co 0.0000 2.6645 2.0356
Co 0.0000 2.6645 7.7298
Co 1.3223 0.0000 2.8471
Co 1.3223 0.0000 6.9184
```

Summary:
size of the total moment	11.23	μB per cell
calculated formation energy	1.216	eV per atom
energy above the most stable polymorph in this dataset	535.4	meV per atom
E_tot	-40.14	eV/cell